(1)
6
Lattice="-2.076 -0.469 2.681 4.604 -0.086 1.364 -1.161 8.033 0.508" Properties=species:S:1:pos:R:3 comment="ThSiW | the Alexandria database | GGA-PBE | optimized geometry" raw_formation_energy_ev_per_atom=0.135 dft_energy_ev_per_cell=-50.78 pbc="T T T"
Th 0.369 4.930 1.149
Th 0.999 2.547 3.404
W 0.466 1.213 0.573
W 0.902 6.265 3.980
Si -1.158 7.174 2.544
Si 2.527 0.304 2.009

(2)
11
Lattice="0.139 -5.851 -2.429 0.433 0.855 6.263 -5.384 3.341 -0.058" Properties=species:S:1:pos:R:3 comment="NdZn6Ni4 | the Alexandria database | GGA-PBE | optimized geometry" ef_kj_per_mol_atoms=-15.3 dft_energy_ev_per_cell=-37.28 pbc="T T T"
Ni -3.039 2.184 1.626
Ni -3.594 1.207 3.781
Ni -1.956 -2.236 0.920
Ni -1.174 1.387 3.654
Zn -2.367 2.475 5.580
Zn -0.431 -3.166 -0.849
Zn 0.286 -2.498 1.917
Zn -2.622 -1.255 -1.244
Zn -2.364 -0.197 2.098
Zn -4.600 3.430 3.153
Nd 0.000 0.000 0.000

(3)
3
Lattice="3.886 0.000 0.000 0.000 3.886 0.000 0.000 0.000 4.783" Properties=species:S:1:pos:R:3 comment="HgAs2 | the Alexandria database | GGA-PBE | optimized geometry" ef_kj_per_mol_atoms=32.0 dft_energy_ev_per_cell=-8.60 pbc="T T T"
As 0.000 1.943 2.392
As 1.943 0.000 2.392
Hg 0.000 0.000 0.000

(4)
5
Lattice="5.209 0.000 0.000 0.000 5.209 0.000 0.000 0.000 6.881" Properties=species:S:1:pos:R:3 comment="KRbOs2I | the Alexandria database | GGA-PBE | optimized geometry" raw_formation_energy_ev_per_atom=2.425 dft_energy_ev_per_cell=-13.95 pbc="T T T"
I 0.000 0.000 3.440
Os 0.000 2.605 0.000
Os 2.605 0.000 0.000
Rb 0.000 0.000 0.000
K 2.605 2.605 3.440

(5)
12
Lattice="-4.067 -4.419 -3.564 4.588 -2.455 4.658 -5.065 2.736 4.678" Properties=species:S:1:pos:R:3 comment="Na3Np2TiSe6 | the Alexandria database | GGA-PBE | optimized geometry" raw_formation_energy_ev_per_atom=-1.183 dft_energy_ev_per_cell=-72.83 pbc="T T T"
Na 0.586 -1.421 5.601
Na -5.130 -2.718 0.171
Na -2.272 -2.070 2.886
Ti 0.000 0.000 0.000
Np -1.180 -3.764 -0.822
Np 1.701 -3.110 1.916
Se -4.883 -3.466 3.165
Se -3.801 0.478 3.887
Se -2.158 -2.848 5.754
Se 0.339 -0.673 2.607
Se -2.386 -1.291 0.018
Se -0.743 -4.617 1.885

(6)
10
Lattice="-5.063 -4.878 1.570 2.774 -0.754 6.606 -2.505 3.050 1.400" Properties=species:S:1:pos:R:3 comment="LiCa2Co2 | the Alexandria database | GGA-PBE | optimized geometry" ef_kj_per_mol_atoms=24.7 dft_energy_ev_per_cell=-37.70 pbc="T T T"
Ca -2.402 -0.187 2.373
Ca -0.269 0.155 5.444
Ca -4.525 -2.737 4.131
Ca -2.392 -2.395 7.203
Co 0.487 -2.592 6.518
Co -2.776 -3.040 1.657
Co -2.840 -4.815 5.410
Co 0.551 -0.817 2.766
Li 0.000 0.000 0.000
Li -1.145 -2.816 4.088

(7)
4
Lattice="-1.675 0.226 -2.667 -3.594 -2.800 2.020 -1.863 3.446 1.462" Properties=species:S:1:pos:R:3 comment="AlSbOs2 | the Alexandria database | GGA-PBE | optimized geometry" raw_formation_energy_ev_per_atom=0.513 dft_energy_ev_per_cell=-28.27 pbc="T T T"
Sb -1.769 1.836 -0.603
Os 0.000 0.000 0.000
Os -2.635 -1.287 -0.324
Al -2.729 0.323 1.741

(8)
14
Lattice="0.458 -3.400 -1.553 4.891 -0.364 6.808 -9.390 4.700 9.578" Properties=species:S:1:pos:R:3 comment="SrPa2Pt4 | the Alexandria database | GGA-PBE | optimized geometry" ef_kj_per_mol_atoms=-79.5 dft_energy_ev_per_cell=-101.22 pbc="T T T"
Pa -1.335 -0.544 8.921
Pa -4.926 1.223 12.573
Pa -2.706 1.479 5.913
Pa 0.884 -0.288 2.261
Sr -6.185 1.571 7.148
Sr 2.143 -0.636 7.686
Pt -3.391 1.460 8.654
Pt 1.778 -2.689 3.378
Pt -2.627 0.137 11.340
Pt -0.650 -0.525 6.179
Pt -4.466 0.650 4.013
Pt -1.414 0.799 3.494
Pt -5.820 3.624 11.456
Pt 0.229 -1.700 -0.776

(9)
5
Lattice="-0.489 -1.424 5.345 2.971 -2.081 -0.283 3.169 4.327 1.443" Properties=species:S:1:pos:R:3 comment="Na2GeNO | the Alexandria database | GGA-PBE | optimized geometry" raw_formation_energy_ev_per_atom=0.515 dft_energy_ev_per_cell=-17.96 pbc="T T T"
Ge 0.000 0.000 0.000
N 1.485 -1.041 -0.141
Na 1.584 2.163 0.721
Na -0.244 -0.712 2.673
O 2.825 0.411 3.252

(10)
5
Lattice="-0.885 4.569 0.842 -1.654 -1.061 4.021 4.305 0.484 1.898" Properties=species:S:1:pos:R:3 comment="LiZnCo2Ag | the Alexandria database | GGA-PBE | optimized geometry" ef_kj_per_mol_atoms=111.3 dft_energy_ev_per_cell=-14.48 pbc="T T T"
Li -0.827 -0.531 2.010
Zn 0.883 1.996 3.381
Co -0.443 2.285 0.421
Co 2.153 0.242 0.949
Ag 0.000 0.000 0.000

(11)
6
Lattice="-1.394 4.620 0.944 -1.149 0.767 -5.451 -3.156 -4.177 2.978" Properties=species:S:1:pos:R:3 comment="Ca2InPt3 | the Alexandria database | GGA-PBE | optimized geometry" ef_kj_per_mol_atoms=-52.6 dft_energy_ev_per_cell=-28.13 pbc="T T T"
Ca -2.243 1.792 0.725
Ca -3.456 -0.582 -2.254
Pt -2.559 2.262 -2.043
Pt 0.000 0.000 0.000
Pt -3.139 -1.052 0.514
In -0.575 0.383 -2.726

(12)
14
Lattice="0.348 0.714 -7.688 -7.236 -1.644 2.162 2.196 6.656 3.276" Properties=species:S:1:pos:R:3 comment="Tm4Co2Sb | the Alexandria database | GGA-PBE | optimized geometry" raw_formation_energy_ev_per_atom=-0.218 dft_energy_ev_per_cell=-75.49 pbc="T T T"
Co -0.849 4.820 -1.536
Co -1.945 1.492 -3.177
Co -5.564 0.674 -2.095
Co -1.024 4.466 2.309
Tm -2.783 4.722 0.449
Tm 1.083 4.924 -3.520
Tm -4.057 0.714 -4.422
Tm -2.433 4.207 -3.467
Tm -3.278 0.583 -0.922
Tm -0.615 2.408 -5.430
Tm 0.166 2.271 -1.930
Tm 0.734 5.433 0.395
Sb -0.005 -0.001 -0.004
Sb -4.237 2.274 1.341